# CsZrB3 | the Alexandria database | PBE | relaxed
data_CsZrB3
_chemical_formula_sum 'Cs1 Zr1 B3'
_cell_length_a 4.806
_cell_length_b 4.806
_cell_length_c 4.806
_cell_angle_alpha 90.00
_cell_angle_beta 90.00
_cell_angle_gamma 90.00
_symmetry_space_group_name_H-M 'P 1'
_symmetry_Int_Tables_number 1
loop_
_symmetry_equiv_pos_as_xyz
'x,y,z'
loop_
_atom_site_label
_atom_site_fract_x
_atom_site_fract_y
_atom_site_fract_z
_atom_site_occupancy
Cs1 0.500 0.500 0.500 1
B1 0.000 0.500 0.000 1
B2 0.000 0.000 0.500 1
B3 0.500 0.000 0.000 1
Zr1 0.000 0.000 0.000 1
# Magnetization = 0.00 Bohr magnetons per cell
# Energy = -21.50 eV/cell
# Formation enthalpy at 0 K = 1.587 eV per atom
# Polymorph energy (0 for the lowest one) = 0.0000 eV/atom

---

# ZrTiNi | the Alexandria database | PBE | relaxed
data_ZrTiNi
_chemical_formula_sum 'Zr2 Ti2 Ni2'
_cell_length_a 4.404
_cell_length_b 4.459
_cell_length_c 5.587
_cell_angle_alpha 90.24
_cell_angle_beta 113.21
_cell_angle_gamma 90.00
_symmetry_space_group_name_H-M 'P 1'
_symmetry_Int_Tables_number 1
loop_
_symmetry_equiv_pos_as_xyz
'x,y,z'
loop_
_atom_site_label
_atom_site_fract_x
_atom_site_fract_y
_atom_site_fract_z
_atom_site_occupancy
Zr1 0.099 0.251 0.199 1
Zr2 0.901 0.749 0.801 1
Ti1 0.407 0.249 0.814 1
Ti2 0.593 0.751 0.186 1
Ni1 0.246 0.754 0.491 1
Ni2 0.754 0.246 0.509 1
# Magnetization = 0.00 Bohr magnetons per cell
# Energy = -45.90 eV/cell
# Formation enthalpy at 0 K = -0.242 eV per atom
# Polymorph energy (0 for the lowest one) = 0.0406 eV/atom

---

# SrTePbN2 | the Alexandria database | PBE | relaxed
data_SrTePbN2
_chemical_formula_sum 'Sr1 Te1 Pb1 N2'
_cell_length_a 4.657
_cell_length_b 4.657
_cell_length_c 6.155
_cell_angle_alpha 90.00
_cell_angle_beta 90.00
_cell_angle_gamma 90.00
_symmetry_space_group_name_H-M 'P 1'
_symmetry_Int_Tables_number 1
loop_
_symmetry_equiv_pos_as_xyz
'x,y,z'
loop_
_atom_site_label
_atom_site_fract_x
_atom_site_fract_y
_atom_site_fract_z
_atom_site_occupancy
Pb1 0.000 0.000 0.000 1
Sr1 0.500 0.500 0.500 1
Te1 0.000 0.000 0.500 1
N1 0.000 0.500 0.000 1
N2 0.500 0.000 0.000 1
# Magnetization = 2.38 Bohr magnetons per cell
# Formation energy without anion corrections = 779.1 meV per atom
# Energy = -21.29 eV/cell
# Polymorph energy (0 for the lowest one) = 0.0000 eV/atom

---

# LiHgW2I | the Alexandria database | PBE | relaxed
data_LiHgW2I
_chemical_formula_sum 'Li1 Hg1 W2 I1'
_cell_length_a 5.229
_cell_length_b 4.804
_cell_length_c 5.229
_cell_angle_alpha 90.00
_cell_angle_beta 90.00
_cell_angle_gamma 90.00
_symmetry_space_group_name_H-M 'P 1'
_symmetry_Int_Tables_number 1
loop_
_symmetry_equiv_pos_as_xyz
'x,y,z'
loop_
_atom_site_label
_atom_site_fract_x
_atom_site_fract_y
_atom_site_fract_z
_atom_site_occupancy
I1 0.500 0.500 0.500 1
Hg1 0.000 0.000 0.000 1
W1 0.000 0.000 0.500 1
W2 0.500 0.000 0.000 1
Li1 0.000 0.500 0.000 1
# Magnetization = 6.00 Bohr magnetons per cell
# Formation energy without anion corrections = 2008.6 meV per atom
# Energy = -19.63 eV/cell
# Polymorph energy (0 for the lowest one) = 0.0000 eV/atom

---

# SrInH6Ru | the Alexandria database | PBE | relaxed
data_SrInH6Ru
_chemical_formula_sum 'Sr1 In1 H6 Ru1'
_cell_length_a 4.835
_cell_length_b 4.836
_cell_length_c 4.730
_cell_angle_alpha 90.00
_cell_angle_beta 90.00
_cell_angle_gamma 60.00
_symmetry_space_group_name_H-M 'P 1'
_symmetry_Int_Tables_number 1
loop_
_symmetry_equiv_pos_as_xyz
'x,y,z'
loop_
_atom_site_label
_atom_site_fract_x
_atom_site_fract_y
_atom_site_fract_z
_atom_site_occupancy
Sr1 0.000 0.000 0.000 1
In1 0.667 0.667 0.500 1
H1 0.053 0.464 0.233 1
H2 0.464 0.053 0.767 1
H3 0.483 0.464 0.767 1
H4 0.053 0.483 0.767 1
H5 0.464 0.483 0.233 1
H6 0.483 0.053 0.233 1
Ru1 0.333 0.333 0.500 1
# Magnetization = 0.00 Bohr magnetons per cell
# Energy = -35.34 eV/cell

---

# TaTlBr | the Alexandria database | PBE | relaxed
data_TaTlBr
_chemical_formula_sum 'Ta1 Tl1 Br1'
_cell_length_a 9.111
_cell_length_b 8.852
_cell_length_c 3.184
_cell_angle_alpha 84.42
_cell_angle_beta 75.23
_cell_angle_gamma 20.36
_symmetry_space_group_name_H-M 'P 1'
_symmetry_Int_Tables_number 1
loop_
_symmetry_equiv_pos_as_xyz
'x,y,z'
loop_
_atom_site_label
_atom_site_fract_x
_atom_site_fract_y
_atom_site_fract_z
_atom_site_occupancy
Tl1 0.692 0.692 0.308 1
Br1 0.963 0.963 0.037 1
Ta1 0.346 0.346 0.654 1
# Magnetization = 0.00 Bohr magnetons per cell
# Formation energy without anion corrections = 325.8 meV per atom
# Energy = -14.91 eV/cell
# Polymorph energy (0 for the lowest one) = 0.1924 eV/atom

---

# CaAlPt | the Alexandria database | PBE | relaxed
data_CaAlPt
_chemical_formula_sum 'Ca1 Al1 Pt1'
_cell_length_a 4.705
_cell_length_b 4.705
_cell_length_c 4.705
_cell_angle_alpha 60.00
_cell_angle_beta 60.00
_cell_angle_gamma 60.00
_symmetry_space_group_name_H-M 'P 1'
_symmetry_Int_Tables_number 1
loop_
_symmetry_equiv_pos_as_xyz
'x,y,z'
loop_
_atom_site_label
_atom_site_fract_x
_atom_site_fract_y
_atom_site_fract_z
_atom_site_occupancy
Ca1 0.750 0.750 0.750 1
Al1 0.500 0.500 0.500 1
Pt1 0.000 0.000 0.000 1
# Magnetization = 0.00 Bohr magnetons per cell
# Energy = -11.48 eV/cell
# Formation enthalpy at 0 K = 0.101 eV per atom

---

# HfMoI | the Alexandria database | PBE | relaxed
data_HfMoI
_chemical_formula_sum 'Hf2 Mo2 I2'
_cell_length_a 3.865
_cell_length_b 4.430
_cell_length_c 11.894
_cell_angle_alpha 123.09
_cell_angle_beta 90.07
_cell_angle_gamma 89.99
_symmetry_space_group_name_H-M 'P 1'
_symmetry_Int_Tables_number 1
loop_
_symmetry_equiv_pos_as_xyz
'x,y,z'
loop_
_atom_site_label
_atom_site_fract_x
_atom_site_fract_y
_atom_site_fract_z
_atom_site_occupancy
Mo1 0.749 0.837 0.422 1
Mo2 0.251 0.163 0.578 1
Hf1 0.249 0.290 0.377 1
Hf2 0.751 0.710 0.623 1
I1 0.750 0.503 0.831 1
I2 0.250 0.497 0.169 1
# Magnetization = 0.00 Bohr magnetons per cell
# Formation energy without anion corrections = -57.9 meV per atom
# Energy = -45.02 eV/cell